Entry 1:
Density functional theory data (PBE) for an optimized crystal structure of K2TlIn3.

Properties
DOS at the Fermi energy	3.7	states/eV/cell
crystal system	monoclinic
magnetization	0.00	μB per atom
formation energy from the elements	-0.11	eV/atom

Cell lengths 6.4519, 6.4519, 6.5809 Å; angles 89.99, 119.24, 120.13 degrees
Element x y z (fractional)
In1 0.0000 0.0000 0.5000
K1 0.7507 0.3751 0.1258
In2 0.5000 0.5000 0.5000
In3 0.5000 0.0000 0.5000
Tl1 0.0000 0.0000 0.0000
K2 0.2493 0.6249 0.8742

---

Entry 2:
Density functional theory data (PBE) for an optimized crystal structure of KTlIn2.

Properties
DOS at the Fermi energy	1.3	states/eV/cell
crystal system	monoclinic
magnetization	0.00	μB per atom
formation energy from the elements	-0.04	eV/atom
energy above the lowest structure with this stoichiometry	64	meV per atom

Cell lengths 5.4961, 5.4964, 5.5305 Å; angles 119.13, 119.13, 90.31 degrees
Element x y z (fractional)
In1 0.0001 0.9999 0.0000
In2 0.2481 0.7520 0.5000
K1 0.5001 0.4999 0.0000
Tl1 0.7517 0.2483 0.5000

---

Entry 3:
Density functional theory data (PBE) for an optimized crystal structure of K2TlIn.

Properties
DOS at the Fermi energy	3.1	states/eV/cell
crystal system	orthorhombic
magnetization	0.00	μB per atom
formation energy from the elements	0.04	eV/atom
energy above the lowest structure with this stoichiometry	141	meV per atom

Cell lengths 4.9113, 5.3138, 5.7275 Å; angles 90.00, 90.00, 90.00 degrees
Element x y z (fractional)
K1 0.0000 0.0000 0.0000
Tl1 0.5000 0.0000 0.5000
K2 0.5000 0.5000 0.0000
In1 0.0000 0.5000 0.5000

---

Entry 4:
Density functional theory data (PBE) for an optimized crystal structure of K2Tl15In2.

Properties
DOS at the Fermi energy	8.2	states/eV/cell
crystal system	trigonal
magnetization	0.00	μB per atom
formation energy from the elements	-0.01	eV/atom

Cell lengths 8.6668, 8.6668, 8.6668 Å; angles 81.53, 81.53, 81.53 degrees
Element x y z (fractional)
K1 0.6664 0.6664 0.6664
Tl1 0.1465 0.6421 0.6421
Tl2 0.6421 0.6421 0.1465
Tl3 0.6421 0.1465 0.6421
Tl4 0.2928 0.7072 0.0000
In1 0.9050 0.9050 0.9050
Tl5 0.0000 0.5000 0.0000
Tl6 0.2928 0.0000 0.7072
Tl7 0.0000 0.2928 0.7072
Tl8 0.8535 0.3579 0.3579
Tl9 0.7072 0.2928 0.0000
Tl10 0.7072 0.0000 0.2928
Tl11 0.0000 0.0000 0.5000
Tl12 0.3579 0.8535 0.3579
Tl13 0.5000 0.0000 0.0000
Tl14 0.0000 0.7072 0.2928
Tl15 0.3579 0.3579 0.8535
K2 0.3336 0.3336 0.3336
In2 0.0950 0.0950 0.0950

---

Entry 5:
Density functional theory data (PBE) for an optimized crystal structure of KTl2In8.

Properties
DOS at the Fermi energy	3.4	states/eV/cell
crystal system	tetragonal
magnetization	0.00	μB per atom
formation energy from the elements	0.05	eV/atom

Cell lengths 5.5596, 5.5596, 11.7459 Å; angles 90.00, 90.00, 90.00 degrees
Element x y z (fractional)
In1 0.5000 0.0000 0.5000
In2 0.0000 0.5000 0.7897
K1 0.0000 0.0000 0.0000
In3 0.5000 0.5000 0.6467
Tl1 0.0000 0.0000 0.3506
In4 0.0000 0.5000 0.2103
Tl2 0.0000 0.0000 0.6494
In5 0.0000 0.5000 0.5000
In6 0.5000 0.0000 0.7897
In7 0.5000 0.0000 0.2103
In8 0.5000 0.5000 0.3533

---

Entry 6:
Density functional theory data (PBE) for an optimized crystal structure of K2TlIn.

Properties
DOS at the Fermi energy	0.9	states/eV/cell
crystal system	trigonal
magnetization	0.00	μB per atom
formation energy from the elements	-0.09	eV/atom
energy above the lowest structure with this stoichiometry	7	meV per atom

Cell lengths 5.3711, 5.3706, 6.9293 Å; angles 67.19, 67.20, 60.00 degrees
Element x y z (fractional)
K1 0.9108 0.6737 0.5047
Tl1 0.4640 0.2270 0.8449
In1 0.1408 0.9038 0.8146
K2 0.6946 0.4575 0.1533